No. 1
Here is a relaxed BeTcW3 crystal from Alexandria via LeMat-Bulk. Energies are from PBE.

Values from the calculation:
Total magnetization in μB per formula unit: 0.0
DFT formation energy in eV/atom: 0.8339
Fermi-level density of states in states/eV/atom: 1.049
Calculated density in g/cm3: 14.6

```
BeTcW3
1.0
4.215 0.000 0.000
0.000 4.215 0.000
0.000 0.000 4.215
W Tc Be
3 1 1
Direct
0.000 0.000 0.500 W
0.500 0.000 0.000 W
0.000 0.500 0.000 W
0.500 0.500 0.500 Tc
0.000 0.000 0.000 Be
```

---

No. 2
Here is a relaxed LiIn4Sn crystal from Alexandria via LeMat-Bulk. Energies are from PBE.

Values from the calculation:
Total magnetization in μB per formula unit: 0.0
DFT formation energy in eV/atom: -0.0720
Fermi-level density of states in states/eV/atom: 0.476
Calculated density in g/cm3: 6.4

```
LiIn4Sn
1.0
-2.606 2.337 -2.916
4.638 -4.318 -4.046
-6.258 -6.832 0.118
In Li Sn
8 2 2
Direct
0.508 0.015 0.054 In
0.998 0.996 0.304 In
0.668 0.335 0.300 In
0.002 0.004 0.804 In
0.332 0.665 0.800 In
0.170 0.341 0.552 In
0.492 0.985 0.554 In
0.830 0.659 0.052 In
0.833 0.667 0.552 Li
0.167 0.333 0.052 Li
0.330 0.659 0.305 Sn
0.670 0.341 0.805 Sn
```

---

- Look up the total magnetization of the first one.
  0.0 μB per formula unit

---

- Among the records above, which one has the highest Fermi-level density of states?
  BeTcW3

---

- What is the formula in the first record?
  BeTcW3

---

- What is the calculated density in the second record?
  6.4 g/cm3